Density functional theory data (GGA+U) for crystalline NaNiIO2 at its relaxed geometry.

extended XYZ file:
```
5
Lattice="4.2621 0.0000 0.0000 0.0000 4.2621 0.0000 0.0000 0.0000 6.2434" Properties=species:S:1:pos:R:3 pbc="T T T"
Na 0.0000 0.0000 0.0000
Ni 2.1311 2.1311 3.1217
I 0.0000 0.0000 3.1217
O 0.0000 2.1311 0.0000
O 2.1311 0.0000 0.0000
```

The energy above the most stable polymorph in this dataset comes out at 0.786 eV per atom. Its space group is P4/mmm. The value obtained for the density of states at the Fermi level is 3.53 states/eV/f.u.